# 1
Compound: CrReRh2
Source: Alexandria
Functional: PBE-GGA
Structure: optimized geometry

Geometry as POSCAR:
```
CrReRh2
1.0
6.099 0.000 0.000
0.000 6.099 0.000
0.000 0.000 6.099
Cr Re Rh
4 4 8
Direct
0.000 0.000 0.000 Cr
0.000 0.500 0.500 Cr
0.500 0.000 0.500 Cr
0.500 0.500 0.000 Cr
0.000 0.000 0.500 Re
0.000 0.500 0.000 Re
0.500 0.000 0.000 Re
0.500 0.500 0.500 Re
0.250 0.250 0.250 Rh
0.250 0.250 0.750 Rh
0.250 0.750 0.250 Rh
0.250 0.750 0.750 Rh
0.750 0.250 0.250 Rh
0.750 0.250 0.750 Rh
0.750 0.750 0.250 Rh
0.750 0.750 0.750 Rh
```

Properties
Raw total energy (eV/atom): -8.748
Excess energy over the best structure of this formula in the dataset (meV/atom): 578
Energy of formation (meV/atom): 446

---

# 2
Compound: TbDyHo
Source: Alexandria
Functional: PBE-GGA
Structure: optimized geometry

Geometry as POSCAR:
```
TbDyHo
1.0
4.998 0.000 0.000
2.495 5.586 0.000
0.009 2.230 6.706
Tb Dy Ho
2 2 2
Direct
0.000 0.000 0.250 Tb
0.000 0.000 0.750 Tb
0.333 0.334 0.416 Dy
0.667 0.666 0.584 Dy
0.333 0.333 0.917 Ho
0.667 0.667 0.083 Ho
```

Properties
Raw total energy (eV/atom): -4.587
Excess energy over the best structure of this formula in the dataset (meV/atom): 0
Energy of formation (meV/atom): 17

---

# 3
Compound: La3PmTe6
Source: Alexandria
Functional: PBE-GGA
Structure: optimized geometry

Geometry as POSCAR:
```
La3PmTe6
1.0
7.128 -4.239 0.000
7.128 4.239 0.000
-4.407 0.000 6.708
La Pm Te
3 1 6
Direct
0.000 0.000 0.000 La
0.250 0.250 0.693 La
0.750 0.750 0.307 La
0.500 0.500 0.500 Pm
0.162 0.661 0.658 Te
0.254 0.254 0.093 Te
0.339 0.838 0.342 Te
0.661 0.162 0.658 Te
0.746 0.746 0.907 Te
0.838 0.339 0.342 Te
```

Properties
Raw total energy (eV/atom): -5.222
Uncorrected formation energy (eV/f.u.): -13.84
Excess energy over the best structure of this formula in the dataset (meV/atom): 113

---

# 4
Compound: Gd2YHg
Source: Alexandria
Functional: PBE-GGA
Structure: optimized geometry

Geometry as POSCAR:
```
Gd2YHg
1.0
3.643 0.000 0.000
0.000 3.643 0.000
0.000 0.000 8.975
Gd Y Hg
2 1 1
Direct
0.000 0.000 0.222 Gd
0.000 0.000 0.778 Gd
0.500 0.500 0.500 Y
0.500 0.500 0.000 Hg
```

Properties
Raw total energy (eV/atom): -8.958
Excess energy over the best structure of this formula in the dataset (meV/atom): 0
Energy of formation (meV/atom): -226